Zr2HgRu, relaxed, DFT PBE; energy of formation = -0.37 eV/atom; final energy = -7.04 eV/atom; N(E_F) = 2.5 states/eV/cell; space group = No. 47
1.0
3.235 0.000 0.000
0.000 3.267 0.000
0.000 0.000 7.496
Zr Hg Ru
2 1 1
direct
0.000 0.000 0.220
0.000 0.000 0.780
0.500 0.500 0.500
0.500 0.500 0.000

NdSm2PbC, relaxed, DFT PBE; energy of formation = -0.44 eV/atom; final energy = -5.86 eV/atom; N(E_F) = 2.6 states/eV/cell; space group = No. 123
1.0
5.061 0.000 0.000
0.000 5.061 0.000
0.000 0.000 5.132
Nd Sm Pb C
1 2 1 1
direct
0.000 0.000 0.000
0.000 0.500 0.500
0.500 0.000 0.500
0.500 0.500 0.000
0.000 0.000 0.500

Dy6Y3Tm2, relaxed, DFT PBE; polymorph energy (0 for the lowest one) = 0 kJ/mol of formula units; energy of formation = 0.02 eV/atom; final energy = -5.06 eV/atom; N(E_F) = 15.8 states/eV/cell; space group = No. 166
1.0
1.771 1.023 31.712
-1.771 1.023 31.712
0.000 -2.045 31.712
Dy Y Tm
6 3 2
direct
0.092 0.092 0.092
0.182 0.182 0.182
0.364 0.364 0.364
0.636 0.636 0.636
0.818 0.818 0.818
0.908 0.908 0.908
0.000 0.000 0.000
0.272 0.272 0.272
0.728 0.728 0.728
0.455 0.455 0.455
0.545 0.545 0.545